Sm2Zn16Cu | PBE | relaxed

Fermi-level density of states: 5.966 states/eV/f.u.
Formation energy: -0.2455 eV/atom
Final energy: -2.03 eV/atom

Geometry as CIF:
```
data_Sm2Zn16Cu
_space_group_name_H-M_alt 'R 3 m'
_space_group_IT_number 160
_space_group_name_Hall 'R 3 -2"'
_cell_length_a 8.9951
_cell_length_b 8.9951
_cell_length_c 13.2092
_cell_angle_alpha 90.00
_cell_angle_beta 90.00
_cell_angle_gamma 120.00
loop_
_atom_site_label
_atom_site_fract_x
_atom_site_fract_y
_atom_site_fract_z
_atom_site_occupancy
Sm1 0.0000 0.0000 0.0000 1
Sm2 0.0000 0.0000 0.3303 1
Zn1 0.0000 0.0000 0.5681 1
Zn2 0.0000 0.2918 0.6666 1
Zn3 0.0097 0.5049 0.8181 1
Zn4 0.1697 0.3393 0.4996 1
Zn5 0.1696 0.3392 0.8469 1
Cu1 0.0000 0.0000 0.7643 1
```